--- P ---
Computed, not measured: an optimized crystal structure of ZrOsW2 at the PBE level of DFT.

Cell lengths 6.4293, 6.4293, 6.4293 Å; angles 90.00, 90.00, 90.00 degrees
Closest atoms and distances in Å follow each position.
Space group Fm-3m (No. 225)
Symmetry-distinct sites (fractional):
Zr1 0.0000 0.0000 0.0000 (multiplicity 4)  8 W 2.78
Os1 0.0000 0.0000 0.5000 (multiplicity 4)  8 W 2.78
W1 0.2500 0.2500 0.2500 (multiplicity 8)  4 Zr 2.78, 4 Os 2.78

Calculated values
V ... 266 Å³ per cell

---

--- Q ---
Computed, not measured: an optimized crystal structure of ZrOsW2 at the PBE level of DFT.

Cell lengths 2.8343, 2.8343, 29.3858 Å; angles 90.00, 90.00, 120.00 degrees
Closest atoms and distances in Å follow each position.
Space group R3m (No. 160, hexagonal axes)
Symmetry-distinct sites (fractional):
Zr1 0.0000 0.0000 0.0000 (multiplicity 3)  6 Zr 2.83, 3 Os 3.04, 3 W 3.13
Os1 0.0000 0.0000 0.7539 (multiplicity 3)  3 W 2.70, 6 Os 2.83
W1 0.0000 0.0000 0.2427 (multiplicity 3)  9 W 2.83-2.92, 3 Zr 3.13
W2 0.0000 0.0000 0.4936 (multiplicity 3)  3 Os 2.70, 9 W 2.83-2.92

Calculated values
V ... 204 Å³ per cell

---

Relative energies in meV per atom: P 0; Q 174

---

--- P ---
Computed, not measured: an optimized crystal structure of ZrOsW2 at the PBE level of DFT.

Cell lengths 5.3223, 9.1038, 2.8213 Å; angles 90.00, 90.00, 90.00 degrees
Closest atoms and distances in Å follow each position.
Space group Cmmm (No. 65)
Symmetry-distinct sites (fractional):
Zr1 0.0000 0.0000 0.0000 (multiplicity 2)  2 Os 2.66, 2 Zr 2.82
Os1 0.0000 0.5000 0.0000 (multiplicity 2)  2 Zr 2.66, 2 Os 2.82
W1 0.2500 0.2500 0.5000 (multiplicity 4)  4 W 2.66-2.82

Calculated values
V ... 137 Å³ per cell

---

--- Q ---
Computed, not measured: an optimized crystal structure of ZrOsW2 at the PBE level of DFT.

Cell lengths 2.8657, 2.8657, 8.3947 Å; angles 90.00, 90.00, 90.00 degrees
Closest atoms and distances in Å follow each position.
Space group P4/mmm (No. 123)
Symmetry-distinct sites (fractional):
Zr1 0.0000 0.0000 0.0000 (multiplicity 1)  4 Zr 2.87, 8 W 3.11
Os1 0.0000 0.0000 0.5000 (multiplicity 1)  8 W 2.74, 4 Os 2.87
W1 0.5000 0.5000 0.2811 (multiplicity 2)  4 Os 2.74, 4 W 2.87

Calculated values
V ... 69 Å³ per cell

---

--- R ---
Computed, not measured: an optimized crystal structure of ZrOsW2 at the PBE level of DFT.

Cell lengths 3.1961, 4.6406, 9.0940 Å; angles 90.00, 90.00, 90.00 degrees
Closest atoms and distances in Å follow each position.
Space group Cmm2 (No. 35)
Symmetry-distinct sites (fractional):
Zr1 0.0000 0.0000 0.0000 (multiplicity 2)  4 Zr 2.82, 2 Os 2.82, 2 W 2.92
Os1 0.0000 0.5000 0.2554 (multiplicity 2)  2 W 2.67, 4 Os 2.82, 2 Zr 2.82
W1 0.0000 0.0000 0.4912 (multiplicity 2)  2 Os 2.67, 6 W 2.71-2.82
W2 0.0000 0.5000 0.7318 (multiplicity 2)  6 W 2.71-2.82, 2 Zr 2.92

Calculated values
V ... 135 Å³ per cell

---

Relative energies in meV per atom: P 201; Q 42; R 0

---

--- P ---
Computed, not measured: an optimized crystal structure of Y3Os4 at the PBE level of DFT.

Cell lengths 5.9377, 5.9377, 4.7290 Å; angles 90.00, 90.00, 120.00 degrees
Closest atoms and distances in Å follow each position.
Space group P6/mmm (No. 191)
Symmetry-distinct sites (fractional):
Y1 0.0000 0.5000 0.0000 (multiplicity 3)  8 Os 2.92-3.19, 4 Y 2.97
Os1 0.0000 0.0000 0.2471 (multiplicity 2)  2 Os 2.34-2.39
Os2 0.3333 0.6667 0.5000 (multiplicity 2)  6 Y 2.92

Calculated values
V ... 144 Å³ per cell

---

--- Q ---
Computed, not measured: an optimized crystal structure of Y3Os4 at the PBE level of DFT.

Cell lengths 2.9997, 2.9997, 30.5852 Å; angles 90.00, 90.00, 90.00 degrees
Closest atoms and distances in Å follow each position.
Space group I4/mmm (No. 139)
Symmetry-distinct sites (fractional):
Y1 0.0000 0.0000 0.0000 (multiplicity 2)  4 Y 3.00, 8 Os 3.14
Y2 0.0000 0.0000 0.3032 (multiplicity 4)  4 Y 3.00, 4 Os 3.03
Os1 0.0000 0.0000 0.1261 (multiplicity 4)  4 Os 2.63
Os2 0.0000 0.0000 0.4245 (multiplicity 4)  4 Os 2.63

Calculated values
V ... 275 Å³ per cell

---

Relative energies in meV per atom: P 811; Q 0